[1]
{
  "formula": "YInHg2",
  "functional": "PBEsol",
  "state": "optimized geometry",
  "cell": [[-2.371, 2.371, 4.076], [2.371, -2.371, 4.076], [2.371, 2.371, -4.076]],
  "species": ["Y", "In", "Hg", "Hg"],
  "fractional_positions": [[0.000, 0.000, 0.000], [0.500, 0.500, 0.000], [0.250, 0.750, 0.500], [0.750, 0.250, 0.500]],
  "formation_energy_ev_per_fu": -1.8
}

[2]
{
  "formula": "TaSi2Os",
  "functional": "PBEsol",
  "state": "optimized geometry",
  "cell": [[0.000, 3.086, 3.086], [3.086, 0.000, 3.086], [3.086, 3.086, 0.000]],
  "species": ["Ta", "Si", "Si", "Os"],
  "fractional_positions": [[0.000, 0.000, 0.000], [0.500, 0.500, 0.500], [0.750, 0.750, 0.750], [0.250, 0.250, 0.250]],
  "raw_formation_energy_mev_per_atom": 6
}

[3]
{
  "formula": "MnSi2Ni",
  "functional": "PBEsol",
  "state": "optimized geometry",
  "cell": [[2.549, 0.000, 0.000], [0.000, 2.549, 0.000], [0.000, 0.000, 7.170]],
  "species": ["Mn", "Si", "Si", "Ni"],
  "fractional_positions": [[0.000, 0.000, 0.000], [0.000, 0.000, 0.470], [0.500, 0.500, 0.770], [0.500, 0.500, 0.249]],
  "raw_formation_energy_mev_per_atom": -91
}

[4]
{
  "formula": "MgRePb",
  "functional": "PBEsol",
  "state": "optimized geometry",
  "cell": [[0.000, 3.201, 3.201], [3.201, 0.000, 3.201], [3.201, 3.201, 0.000]],
  "species": ["Mg", "Re", "Pb"],
  "fractional_positions": [[0.000, 0.000, 0.000], [0.500, 0.500, 0.500], [0.750, 0.750, 0.750]],
  "formation_energy_ev_per_fu": 3.5,
  "de_polymorph_mev_per_atom": 462
}

[5]
{
  "formula": "YSc2Tl",
  "functional": "PBEsol",
  "state": "optimized geometry",
  "cell": [[4.574, 0.000, 0.000], [0.000, 4.574, 0.000], [0.000, 0.000, 4.563]],
  "species": ["Y", "Sc", "Sc", "Tl"],
  "fractional_positions": [[0.000, 0.000, 0.000], [0.000, 0.500, 0.500], [0.500, 0.000, 0.500], [0.500, 0.500, 0.000]],
  "formation_energy_ev_per_fu": -1.0,
  "de_polymorph_mev_per_atom": 0
}

[6]
{
  "formula": "ZrAlRe2",
  "functional": "PBEsol",
  "state": "optimized geometry",
  "cell": [[2.988, 0.000, 0.000], [0.000, 2.988, 0.000], [0.000, 0.000, 7.327]],
  "species": ["Zr", "Al", "Re", "Re"],
  "fractional_positions": [[0.000, 0.000, 0.000], [0.500, 0.500, 0.289], [0.000, 0.000, 0.511], [0.500, 0.500, 0.714]],
  "formation_energy_ev_per_fu": -0.9
}

[7]
{
  "formula": "ZrSi2Br",
  "functional": "PBEsol",
  "state": "optimized geometry",
  "cell": [[2.697, -4.865, 0.000], [2.697, 4.865, 0.000], [-1.645, 0.000, 2.793]],
  "species": ["Zr", "Si", "Si", "Br"],
  "fractional_positions": [[0.000, 0.000, 0.000], [0.000, 0.500, 0.500], [0.500, 0.000, 0.500], [0.500, 0.500, 0.000]],
  "raw_formation_energy_mev_per_atom": 83,
  "de_polymorph_mev_per_atom": 425
}

[8]
{
  "formula": "K2TeBr",
  "functional": "PBEsol",
  "state": "optimized geometry",
  "cell": [[-2.766, 2.766, 4.391], [2.766, -2.766, 4.391], [2.766, 2.766, -4.391]],
  "species": ["K", "K", "Te", "Br"],
  "fractional_positions": [[0.250, 0.750, 0.500], [0.750, 0.250, 0.500], [0.000, 0.000, 0.000], [0.500, 0.500, 0.000]],
  "raw_formation_energy_mev_per_atom": -973,
  "de_polymorph_mev_per_atom": 134
}